Below is a geometry-optimized PmGdFeNi structure, with properties calculated at the PBE level.

Summary:
total moment: 6.20 μB per cell
density of states at the Fermi level: 4.95 states/eV per cell
final energy: -33.1 eV/cell
DFT formation energy: -0.0026 eV/atom

Unit cell a=4.8505 b=4.8505 c=4.8505 alpha=60.00 beta=60.00 gamma=60.00
Closest atoms and distances in Å follow each position.
Positions (direct):
Pm1 0.0000 0.0000 0.0000  4 Fe 2.97, 4 Ni 2.97
Gd1 0.5000 0.5000 0.5000  4 Fe 2.97, 4 Ni 2.97
Fe1 0.7500 0.7500 0.7500  4 Gd 2.97, 4 Pm 2.97
Ni1 0.2500 0.2500 0.2500  4 Gd 2.97, 4 Pm 2.97